Version w
Material: CuTcRu2
Method: DFT, GGA-PBE
State: optimized geometry

Structure (POSCAR):
```
CuTcRu2
1.0
2.702 -3.751 0.000
2.702 3.751 0.000
0.000 0.000 2.720
Cu Tc Ru
1 1 2
Cartesian
0.000 0.000 0.000
2.702 0.000 0.000
1.351 1.875 1.360
1.351 -1.875 1.360
```

---

Version x
Material: CuTcRu2
Method: DFT, GGA-PBE
State: optimized geometry

Structure (POSCAR):
```
CuTcRu2
1.0
3.835 0.000 0.000
0.000 3.835 0.000
0.000 0.000 3.733
Cu Tc Ru
1 1 2
Cartesian
0.000 0.000 0.000
1.917 1.917 0.000
0.000 1.917 1.867
1.917 0.000 1.867
```

---

Which of the structures shown above is the most stable? The most stable is version w.